A:
# YNp2Ga9

A relaxed structure of YNp2Ga9 (GGA-PBE, Alexandria).

Total magnetization ... 8.76 μB/cell
SG ... R-3m, No. 166

Unit cell a=5.487 b=5.487 c=9.494 alpha=73.20 beta=73.20 gamma=60.00
Each line ends with the local moment (μB).
Atoms (fractional coordinates):
Np  0.856  0.856  0.432  4.06
Np  0.144  0.144  0.568  4.06
Ga  0.588  0.078  0.746  -0.01
Ga  0.412  0.412  0.254  -0.01
Ga  0.500  0.500  0.500  -0.03
Ga  0.412  0.922  0.254  -0.01
Ga  0.665  0.665  0.006  -0.01
Ga  0.588  0.588  0.746  -0.01
Ga  0.078  0.588  0.746  -0.01
Ga  0.335  0.335  0.994  -0.01
Ga  0.922  0.412  0.254  -0.01
Y  0.000  0.000  0.000  -0.04

=====

B:
# YNp2Ga9

A relaxed structure of YNp2Ga9 (GGA-PBE, Alexandria).

Total magnetization ... 7.73 μB/cell
SG ... P4/mmm, No. 123

Unit cell a=4.261 b=4.261 c=12.851 alpha=90.00 beta=90.00 gamma=90.00
Each line ends with the local moment (μB).
Atoms (fractional coordinates):
Ga  0.000  0.500  0.500  0.02
Ga  0.500  0.500  0.665  0.02
Ga  0.000  0.500  0.169  0.00
Ga  0.500  0.000  0.831  0.00
Ga  0.000  0.500  0.831  0.00
Ga  0.500  0.500  0.335  0.02
Ga  0.500  0.000  0.169  0.00
Ga  0.500  0.000  0.500  0.02
Ga  0.500  0.500  0.000  0.00
Np  0.000  0.000  0.332  3.62
Np  0.000  0.000  0.668  3.62
Y  0.000  0.000  0.000  -0.01

=====

Winner for stability: B

=====

A:
# NpZn4Ga

A relaxed structure of NpZn4Ga (GGA-PBE, Alexandria).

Total magnetization ... 4.28 μB/cell
SG ... F-43m, No. 216

Unit cell a=5.360 b=5.360 c=5.360 alpha=60.00 beta=60.00 gamma=60.00
Each line ends with the local moment (μB).
Atoms (fractional coordinates):
Zn  0.125  0.625  0.625  0.01
Zn  0.625  0.125  0.625  0.01
Zn  0.625  0.625  0.625  0.01
Zn  0.625  0.625  0.125  0.01
Np  0.000  0.000  0.000  3.98
Ga  0.250  0.250  0.250  -0.02

=====

B:
# NpZn4Ga

A relaxed structure of NpZn4Ga (GGA-PBE, Alexandria).

Total magnetization ... 8.82 μB/cell
SG ... Pmma, No. 51

Unit cell a=4.274 b=7.287 c=7.005 alpha=90.00 beta=90.00 gamma=90.00
Each line ends with the local moment (μB).
Atoms (fractional coordinates):
Np  0.000  0.362  0.250  4.00
Np  0.000  0.638  0.750  4.00
Zn  0.000  0.000  0.500  0.02
Zn  0.500  0.325  0.554  0.01
Zn  0.000  0.000  0.000  0.02
Zn  0.500  0.675  0.446  0.01
Zn  0.500  0.325  0.946  0.01
Zn  0.500  0.068  0.250  0.01
Zn  0.500  0.932  0.750  0.01
Zn  0.500  0.675  0.054  0.01
Ga  0.000  0.239  0.750  -0.03
Ga  0.000  0.761  0.250  -0.03

=====

Winner for stability: B

=====

A:
# ZrNpGa2

A relaxed structure of ZrNpGa2 (GGA-PBE, Alexandria).

Total magnetization ... 3.23 μB/cell
SG ... R-3m, No. 166

Unit cell a=2.998 b=2.998 c=10.300 alpha=81.63 beta=81.63 gamma=60.00
Each line ends with the local moment (μB).
Atoms (fractional coordinates):
Zr  0.500  0.500  0.500  -0.01
Ga  0.753  0.753  0.741  -0.02
Ga  0.247  0.247  0.259  -0.02
Np  0.000  0.000  0.000  3.19

=====

B:
# ZrNpGa2

A relaxed structure of ZrNpGa2 (GGA-PBE, Alexandria).

Total magnetization ... 3.89 μB/cell
SG ... P4/mmm, No. 123

Unit cell a=3.040 b=3.040 c=8.521 alpha=90.00 beta=90.00 gamma=90.00
Each line ends with the local moment (μB).
Atoms (fractional coordinates):
Ga  0.000  0.000  0.237  -0.04
Ga  0.000  0.000  0.763  -0.04
Zr  0.500  0.500  0.000  -0.12
Np  0.500  0.500  0.500  3.95

=====

Winner for stability: B

=====

A:
# Zr2NpGa

A relaxed structure of Zr2NpGa (GGA-PBE, Alexandria).

Total magnetization ... 4.72 μB/cell
SG ... Fm-3m, No. 225

Unit cell a=4.928 b=4.928 c=4.928 alpha=60.00 beta=60.00 gamma=60.00
Each line ends with the local moment (μB).
Atoms (fractional coordinates):
Zr  0.750  0.750  0.750  0.27
Zr  0.250  0.250  0.250  0.27
Ga  0.000  0.000  0.000  -0.08
Np  0.500  0.500  0.500  3.91

=====

B:
# Zr2NpGa

A relaxed structure of Zr2NpGa (GGA-PBE, Alexandria).

Total magnetization ... 3.87 μB/cell
SG ... R-3m, No. 166

Unit cell a=3.245 b=3.245 c=9.772 alpha=80.44 beta=80.44 gamma=60.00
Each line ends with the local moment (μB).
Atoms (fractional coordinates):
Ga  0.500  0.500  0.500  0.01
Np  0.000  0.000  0.000  3.62
Zr  0.245  0.245  0.265  0.01
Zr  0.755  0.755  0.735  0.01

=====

Winner for stability: B

=====

A:
# GaO

A relaxed structure of GaO (GGA-PBE, Alexandria).

Total magnetization ... 0.00 μB/cell
SG ... P6_3mc, No. 186

Unit cell a=3.270 b=3.270 c=6.075 alpha=90.00 beta=90.00 gamma=120.00
Atoms (fractional coordinates):
O  0.667  0.333  0.860
O  0.333  0.667  0.360
Ga  0.667  0.333  0.222
Ga  0.333  0.667  0.722

=====

B:
# GaO

A relaxed structure of GaO (GGA-PBE, Alexandria).

Total magnetization ... 0.00 μB/cell
SG ... Imm2, No. 44

Unit cell a=3.125 b=5.053 c=5.053 alpha=121.11 beta=72.00 gamma=108.00
Atoms (fractional coordinates):
O  0.398  0.254  0.478
O  0.894  0.750  0.982
Ga  0.295  0.803  0.233
Ga  0.997  0.504  0.531

=====

C:
# GaO

A relaxed structure of GaO (GGA-PBE, Alexandria).

Total magnetization ... 0.00 μB/cell
SG ... P4/m, No. 83

Unit cell a=8.822 b=8.822 c=3.097 alpha=90.00 beta=90.00 gamma=90.00
Atoms (fractional coordinates):
Ga  0.309  0.608  0.500
Ga  0.608  0.691  0.500
Ga  0.932  0.647  0.000
Ga  0.647  0.068  0.000
Ga  0.691  0.392  0.500
Ga  0.353  0.932  0.000
Ga  0.068  0.353  0.000
Ga  0.392  0.309  0.500
O  0.137  0.263  0.500
O  0.135  0.570  0.000
O  0.430  0.135  0.000
O  0.263  0.863  0.500
O  0.863  0.737  0.500
O  0.570  0.865  0.000
O  0.737  0.137  0.500
O  0.865  0.430  0.000

=====

D:
# GaO

A relaxed structure of GaO (GGA-PBE, Alexandria).

Total magnetization ... 0.00 μB/cell
SG ... Fddd, No. 70

Unit cell a=8.578 b=8.346 c=5.310 alpha=90.00 beta=90.00 gamma=90.00
Atoms (fractional coordinates):
Ga  0.250  0.750  0.015
Ga  0.500  0.500  0.235
Ga  0.000  0.500  0.265
Ga  0.750  0.750  0.515
Ga  0.750  0.250  0.485
Ga  0.500  0.500  0.765
Ga  0.500  0.000  0.265
Ga  0.250  0.250  0.985
Ga  0.250  0.250  0.515
Ga  0.000  0.500  0.735
Ga  0.750  0.750  0.985
Ga  0.750  0.250  0.015
Ga  0.000  0.000  0.235
Ga  0.000  0.000  0.765
Ga  0.250  0.750  0.485
Ga  0.500  0.000  0.735
O  0.750  0.414  0.750
O  0.000  0.664  0.000
O  0.000  0.836  0.500
O  0.500  0.336  0.500
O  0.500  0.664  0.500
O  0.250  0.086  0.250
O  0.000  0.164  0.500
O  0.250  0.914  0.750
O  0.250  0.414  0.250
O  0.500  0.164  0.000
O  0.750  0.586  0.250
O  0.250  0.586  0.750
O  0.500  0.836  0.000
O  0.750  0.914  0.250
O  0.000  0.336  0.000
O  0.750  0.086  0.750

=====

Winner for stability: B

=====

A:
# GaO

A relaxed structure of GaO (GGA-PBE, Alexandria).

Total magnetization ... 0.00 μB/cell
SG ... Imm2, No. 44

Unit cell a=3.423 b=3.430 c=3.433 alpha=89.95 beta=60.11 gamma=60.11
Atoms (fractional coordinates):
O  0.415  0.978  0.611
Ga  0.915  0.727  0.862

=====

B:
# GaO

A relaxed structure of GaO (GGA-PBE, Alexandria).

Total magnetization ... 0.00 μB/cell
SG ... Pm-3n, No. 223

Unit cell a=5.965 b=5.965 c=5.965 alpha=90.00 beta=90.00 gamma=90.00
Atoms (fractional coordinates):
Ga  0.000  0.750  0.500
Ga  0.250  0.500  0.000
Ga  0.750  0.500  0.000
Ga  0.500  0.000  0.250
Ga  0.500  0.000  0.750
Ga  0.000  0.250  0.500
O  0.750  0.000  0.500
O  0.250  0.000  0.500
O  0.500  0.250  0.000
O  0.500  0.750  0.000
O  0.000  0.500  0.750
O  0.000  0.500  0.250

=====

Winner for stability: A